This record from Alexandria describes a relaxed CrTcPt2 crystal. The functional is GGA-PBE.

Properties
ΔH_f (0 K)   31.99 kJ/mol of atoms
Density   15089 kg/m3
Total moment   0.95 μB per formula unit
Energy relative to the lowest polymorph listed for this composition   0.520 eV/atom

Geometry as POSCAR:
```
CrTcPt2
1.0
6.195 0.000 0.000
0.000 6.195 0.000
0.000 0.000 6.195
Cr Tc Pt
4 4 8
Cartesian
0.000 0.000 0.000
0.000 3.098 3.098
3.098 0.000 3.098
3.098 3.098 0.000
0.000 0.000 3.098
0.000 3.098 0.000
3.098 0.000 0.000
3.098 3.098 3.098
1.549 1.549 1.549
1.549 1.549 4.646
1.549 4.646 1.549
1.549 4.646 4.646
4.646 1.549 1.549
4.646 1.549 4.646
4.646 4.646 1.549
4.646 4.646 4.646
```